Compound: Pr2Nd2CBr5
Source: OQMD
Functional: PBE-GGA
Structure: relaxed

Cell: 9.4366 9.4366 8.4814 Å, 103.25 103.25 24.32°
With the nearest neighbours (Å) after each atom.
Atoms (fractional coordinates):
Pr 0.0010 0.0010 0.2936  2 C 2.65
Pr 0.9990 0.9990 0.7064  2 C 2.65
Nd 0.3588 0.3588 0.4245  1 C 2.53
Nd 0.6412 0.6412 0.5755  1 C 2.53
C 0.5000 0.5000 0.5000  2 Nd 2.53, 4 Pr 2.65
Br 0.1646 0.1646 0.8432  2 Nd 2.97, 1 Pr 3.00
Br 0.1705 0.1705 0.3295  3 Nd 3.02-3.38, 1 Pr 3.07
Br 0.5000 0.5000 0.0000  4 Pr 3.18
Br 0.8295 0.8295 0.6705  3 Nd 3.02-3.38, 1 Pr 3.07
Br 0.8354 0.8354 0.1568  2 Nd 2.97, 1 Pr 3.00

The value obtained for the total energy is -51.013 eV per formula unit.

Compound: Cu
Source: OQMD
Functional: PBE-GGA
Structure: relaxed

Cell: 2.5248 2.5248 28.0943 Å, 90.00 90.00 120.00°
With the nearest neighbours (Å) after each atom.
Atoms (fractional coordinates):
Cu 0.0000 0.0000 0.0000  12 Cu 2.52-2.54
Cu 0.3333 0.6667 0.1486  9 Cu 2.52-2.55
Cu 0.3333 0.6667 0.9260  12 Cu 2.52-2.55
Cu 0.6667 0.3333 0.0740  12 Cu 2.52-2.55
Cu 0.6667 0.3333 0.8514  9 Cu 2.52-2.55

Its formation energy is 17.7 kJ/mol of formula units. Its energy above the most stable polymorph in this dataset is 183 meV per atom.

Compound: Gd2GaFeCl2
Source: OQMD
Functional: PBE-GGA
Structure: relaxed

Cell: 4.0611 4.0611 10.5543 Å, 90.00 90.00 120.00°
With the nearest neighbours (Å) after each atom.
Atoms (fractional coordinates):
Gd 0.0000 0.0000 0.0000  3 Cl 2.87, 3 Fe 3.06, 3 Ga 3.09
Gd 0.0000 0.0000 0.3705  3 Cl 2.88, 3 Ga 3.02, 3 Fe 3.04
Ga 0.6667 0.3333 0.1900  3 Fe 2.34
Fe 0.3333 0.6667 0.1870  3 Ga 2.34
Cl 0.3333 0.6667 0.5296  3 Gd 2.88
Cl 0.6667 0.3333 0.8429  3 Gd 2.87

The value obtained for the total energy is -31.194 eV per formula unit.

What did the third record say?
Compound: Gd2GaFeCl2
Source: OQMD
Functional: PBE-GGA
Structure: relaxed

Cell: 4.0611 4.0611 10.5543 Å, 90.00 90.00 120.00°
With the nearest neighbours (Å) after each atom.
Atoms (fractional coordinates):
Gd 0.0000 0.0000 0.0000  3 Cl 2.87, 3 Fe 3.06, 3 Ga 3.09
Gd 0.0000 0.0000 0.3705  3 Cl 2.88, 3 Ga 3.02, 3 Fe 3.04
Ga 0.6667 0.3333 0.1900  3 Fe 2.34
Fe 0.3333 0.6667 0.1870  3 Ga 2.34
Cl 0.3333 0.6667 0.5296  3 Gd 2.88
Cl 0.6667 0.3333 0.8429  3 Gd 2.87

The value obtained for the total energy is -31.194 eV per formula unit.